DFT (PBE-GGA) results for crystalline Hg2SbRh at its relaxed geometry. Values from VASP.

Quantum ESPRESSO input file:
```
&SYSTEM
  ibrav = 0, nat = 8, ntyp = 3
/
ATOMIC_SPECIES
Hg 200.59 Hg.upf
Sb 121.76 Sb.upf
Rh 102.91 Rh.upf
CELL_PARAMETERS angstrom
3.096 0.000 0.000
0.000 4.691 0.000
0.000 0.000 12.797
ATOMIC_POSITIONS angstrom
Hg 0.000 0.000 0.000
Hg 0.000 2.345 2.244
Hg 1.548 0.000 8.643
Hg 1.548 2.345 6.399
Sb 0.000 2.345 10.426
Sb 1.548 0.000 4.028
Rh 0.000 0.000 6.183
Rh 1.548 2.345 12.582
```

V: 23.2 Å³/atom
uncorrected formation energy: 0.0013 eV/atom